Entry 1:
# ScCd2Ag

An optimized crystal structure of ScCd2Ag (PBE, Alexandria).

Cell lengths 10.4793, 3.6748, 4.9115 Å; angles 90.00, 117.42, 90.00 degrees
Closest atoms and distances in Å follow each position.
Space group C2/m (No. 12)
Inequivalent atoms, fractional coordinates:
Sc1 0.0000 0.0000 0.0000 x2  8 Cd 3.06-3.32, 4 Ag 3.07
Cd1 0.2372 0.0000 0.7370 x4  2 Ag 2.87, 2 Sc 3.06, 4 Cd 3.07-3.08
Ag1 0.0000 0.5000 0.5000 x2  4 Cd 2.87, 4 Sc 3.07

## Properties
total magnetic moment: 0.000 μB/atom
final energy: -2.891 eV/atom
calculated formation energy: -0.1376 eV per atom

***

Entry 2:
# ScCd12Ag6

An optimized crystal structure of ScCd12Ag6 (PBE, Alexandria).

Cell lengths 10.2422, 10.2422, 13.0746 Å; angles 90.00, 90.00, 120.00 degrees
Closest atoms and distances in Å follow each position.
Space group R-3 (No. 148, hexagonal axes)
Inequivalent atoms, fractional coordinates:
Sc1 0.0000 0.0000 0.0000 x3  6 Ag 2.89, 6 Cd 3.03
Cd1 0.0304 0.8444 0.8121 x18  4 Ag 2.96-3.15, 5 Cd 2.96-3.21, 1 Sc 3.03
Cd2 0.0582 0.2121 0.4130 x18  4 Ag 2.89-3.15, 5 Cd 2.99-3.21
Ag1 0.0238 0.5891 0.7013 x18  8 Cd 2.89-3.15, 1 Sc 2.89, 2 Ag 3.00

## Properties
total magnetic moment: 0.000 μB/atom
final energy: -1.877 eV/atom
calculated formation energy: -0.0649 eV per atom

***

Entry 3:
# Sc5CdAg4

An optimized crystal structure of Sc5CdAg4 (PBE, Alexandria).

Cell lengths 3.4307, 3.4307, 17.5090 Å; angles 90.00, 90.00, 90.00 degrees
Closest atoms and distances in Å follow each position.
Space group P4/mmm (No. 123)
Inequivalent atoms, fractional coordinates:
Sc1 0.0000 0.0000 0.0000 x1  8 Ag 2.98
Sc2 0.0000 0.0000 0.1975 x2  8 Ag 2.98
Sc3 0.0000 0.0000 0.3934 x2  4 Ag 2.96, 4 Cd 3.06
Cd1 0.5000 0.5000 0.5000 x1  8 Sc 3.06
Ag1 0.5000 0.5000 0.0985 x2  8 Sc 2.98
Ag2 0.5000 0.5000 0.2964 x2  8 Sc 2.96-2.98

## Properties
total magnetic moment: 0.000 μB/atom
final energy: -4.675 eV/atom
calculated formation energy: -0.2777 eV per atom

***

Entry 4:
# Sc11Cd9Ag4

An optimized crystal structure of Sc11Cd9Ag4 (PBE, Alexandria).

Cell lengths 14.1387, 21.2081, 3.4541 Å; angles 90.00, 90.00, 90.00 degrees
Closest atoms and distances in Å follow each position.
Space group Cmmm (No. 65)
Inequivalent atoms, fractional coordinates:
Sc1 0.0000 0.0000 0.0000 x2  8 Cd 3.04
Sc2 0.0000 0.1629 0.0000 x4  8 Cd 3.08-3.15, 2 Sc 3.41
Sc3 0.0000 0.3575 0.0000 x4  4 Ag 2.88, 4 Cd 3.12
Sc4 0.2221 0.5000 0.0000 x4  4 Ag 2.88, 4 Cd 3.12
Sc5 0.2405 0.1731 0.0000 x8  2 Ag 2.84, 6 Cd 3.07-3.12
Cd1 0.0000 0.5000 0.5000 x2  4 Ag 2.94
Cd2 0.1092 0.2589 0.5000 x8  8 Sc 3.08-3.12, 1 Cd 3.09, 1 Ag 3.10
Cd3 0.1341 0.0768 0.5000 x8  8 Sc 3.04-3.15, 1 Ag 3.11, 1 Cd 3.26
Ag1 0.1482 0.4029 0.5000 x8  6 Sc 2.84-2.88, 3 Cd 2.94-3.11

## Properties
total magnetic moment: 0.000 μB/atom
final energy: -3.991 eV/atom
calculated formation energy: -0.2711 eV per atom

***

Entry 5:
# Sc4CdAg5

An optimized crystal structure of Sc4CdAg5 (PBE, Alexandria).

Cell lengths 3.4143, 3.4143, 17.2058 Å; angles 90.00, 90.00, 90.00 degrees
Closest atoms and distances in Å follow each position.
Space group P4/mmm (No. 123)
Inequivalent atoms, fractional coordinates:
Sc1 0.0000 0.0000 0.1010 x2  8 Ag 2.97-2.98
Sc2 0.0000 0.0000 0.3028 x2  8 Ag 2.94-2.97
Cd1 0.0000 0.0000 0.5000 x1  8 Ag 2.97
Ag1 0.5000 0.5000 0.0000 x1  8 Sc 2.97
Ag2 0.5000 0.5000 0.2024 x2  8 Sc 2.97-2.98
Ag3 0.5000 0.5000 0.3999 x2  4 Sc 2.94, 4 Cd 2.97

## Properties
total magnetic moment: 0.000 μB/atom
final energy: -4.294 eV/atom
calculated formation energy: -0.2438 eV per atom

***

Entry 6:
# ScCd6Ag8

An optimized crystal structure of ScCd6Ag8 (PBE, Alexandria).

Cell lengths 7.9775, 7.9775, 5.7273 Å; angles 90.00, 90.00, 120.00 degrees
Closest atoms and distances in Å follow each position.
Space group P-3 (No. 147)
Inequivalent atoms, fractional coordinates:
Sc1 0.0000 0.0000 0.0000 x1  6 Ag 3.06, 6 Cd 3.07
Cd1 0.0015 0.6339 0.1618 x6  1 Cd 2.82, 5 Ag 2.88-2.96, 1 Sc 3.07
Ag1 0.0009 0.7078 0.6551 x6  5 Cd 2.88-2.96, 4 Ag 2.93-2.98, 1 Sc 3.06
Ag2 0.3333 0.6667 0.5001 x2  6 Ag 2.97-2.98, 6 Cd 3.18-3.20

## Properties
total magnetic moment: 0.000 μB/atom
final energy: -2.326 eV/atom
calculated formation energy: -0.0170 eV per atom

***

Entry 7:
# Sc2Cd3Ag4

An optimized crystal structure of Sc2Cd3Ag4 (PBE, Alexandria).

Cell lengths 8.4349, 4.7340, 8.8989 Å; angles 90.00, 92.42, 90.00 degrees
Closest atoms and distances in Å follow each position.
Space group C2/m (No. 12)
Inequivalent atoms, fractional coordinates:
Sc1 0.1689 0.0000 0.2194 x4  7 Ag 2.90-2.98, 1 Cd 3.13
Cd1 0.0000 0.5000 0.0000 x2  8 Ag 2.92-3.01
Cd2 0.1644 0.0000 0.5709 x4  4 Ag 2.87-2.89, 3 Cd 3.00-3.07, 1 Sc 3.13
Ag1 0.0041 0.5000 0.3381 x4  4 Cd 2.88-3.01, 1 Ag 2.89, 3 Sc 2.96-2.98
Ag2 0.1648 0.0000 0.8939 x4  4 Cd 2.87-2.94, 4 Sc 2.90-2.95

## Properties
total magnetic moment: 0.000 μB/atom
final energy: -3.172 eV/atom
calculated formation energy: -0.1927 eV per atom

***

Entry 8:
# ScCd5Ag2

An optimized crystal structure of ScCd5Ag2 (PBE, Alexandria).

Cell lengths 6.2847, 6.3054, 8.9590 Å; angles 90.00, 110.43, 90.00 degrees
Closest atoms and distances in Å follow each position.
Space group C2/m (No. 12)
Inequivalent atoms, fractional coordinates:
Sc1 0.0000 0.0000 0.0000 x2  12 Cd 3.13-3.15
Cd1 0.0000 0.5000 0.0000 x2  8 Cd 3.13-3.14, 4 Sc 3.14-3.15
Cd2 0.1184 0.2499 0.7374 x8  4 Ag 2.92-3.06, 2 Sc 3.13-3.14, 6 Cd 3.13-3.15
Ag1 0.2448 0.0000 0.4882 x4  8 Cd 2.92-3.06, 4 Ag 3.14-3.16

## Properties
total magnetic moment: 0.000 μB/atom
final energy: -2.195 eV/atom
calculated formation energy: -0.1188 eV per atom